# 1
Here is an optimized crystal structure of Cu2AuBr from Alexandria. Energies are from GGA-PBE.

Unit cell a=4.606 b=4.606 c=4.606 alpha=60.00 beta=60.00 gamma=60.00
Fractional positions:
Cu  0.750  0.750  0.750
Cu  0.000  0.000  0.000
Br  0.250  0.250  0.250
Au  0.500  0.500  0.500

Properties
- Uncorrected energy: -11.146 eV/f.u.
- Volume: 69.1 Å³ per cell
- Space group: F-43m, No. 216
- Total magnetization: 0.0000 μB/atom

***

# 2
Here is an optimized crystal structure of Sm2SiSe6 from Alexandria. Energies are from GGA-PBE.

Unit cell a=6.910 b=7.624 c=8.630 alpha=90.00 beta=92.32 gamma=90.00
Fractional positions:
Se  0.799  0.670  0.940
Se  0.135  0.034  0.758
Se  0.635  0.466  0.258
Se  0.168  0.289  0.443
Se  0.299  0.830  0.440
Se  0.865  0.966  0.242
Se  0.832  0.711  0.557
Se  0.332  0.789  0.057
Se  0.668  0.211  0.943
Se  0.201  0.330  0.060
Se  0.701  0.170  0.560
Se  0.365  0.534  0.742
Sm  0.471  0.109  0.252
Sm  0.029  0.609  0.248
Sm  0.529  0.891  0.748
Sm  0.971  0.391  0.752
Si  0.000  0.000  0.500
Si  0.500  0.500  0.000

Properties
- Uncorrected energy: -44.703 eV/f.u.
- Volume: 454.3 Å³ per cell
- Space group: P2_1/c, No. 14
- Total magnetization: 0.0000 μB/atom

***

# 3
Here is an optimized crystal structure of Sc5GeTe2 from Alexandria. Energies are from GGA-PBE.

Unit cell a=5.366 b=7.339 c=12.607 alpha=90.00 beta=90.00 gamma=111.44
Fractional positions:
Sc  0.308  0.617  0.050
Sc  0.692  0.383  0.550
Sc  0.308  0.617  0.450
Sc  0.075  0.150  0.384
Sc  0.075  0.150  0.116
Sc  0.925  0.850  0.616
Sc  0.925  0.850  0.884
Sc  0.692  0.383  0.950
Sc  0.699  0.398  0.250
Sc  0.301  0.602  0.750
Ge  0.779  0.559  0.750
Ge  0.221  0.441  0.250
Te  0.135  0.270  0.599
Te  0.865  0.730  0.401
Te  0.135  0.270  0.901
Te  0.865  0.730  0.099

Properties
- Uncorrected energy: -46.350 eV/f.u.
- Volume: 462.1 Å³ per cell
- Space group: Cmcm, No. 63
- Total magnetization: 0.0001 μB/atom

***

# 4
Here is an optimized crystal structure of LiGdGaCo from Alexandria. Energies are from GGA-PBE.

Unit cell a=4.528 b=4.528 c=4.528 alpha=60.00 beta=60.00 gamma=60.00
Site moments in Bohr magnetons follow the coordinates.
Fractional positions:
Li  0.500  0.500  0.500  -0.03
Gd  0.750  0.750  0.750  -7.14
Co  0.000  0.000  0.000  -0.35
Ga  0.250  0.250  0.250  -0.03

Properties
- Volume: 65.7 Å³ per cell
- Formation energy: -0.88 eV/f.u.
- Space group: F-43m, No. 216
- Total magnetization: 1.9584 μB/atom

***

# 5
Here is an optimized crystal structure of CaNiW2 from Alexandria. Energies are from GGA-PBE.

Unit cell a=9.836 b=9.836 c=9.836 alpha=16.61 beta=16.61 gamma=16.61
Fractional positions:
Ca  0.250  0.250  0.250
W  0.489  0.489  0.489
W  0.011  0.011  0.011
Ni  0.750  0.750  0.750

Properties
- Volume: 67.8 Å³ per cell
- Formation energy: 3.02 eV/f.u.
- Space group: R-3m, No. 166
- Total magnetization: 0.0000 μB/atom

***

# 6
Here is an optimized crystal structure of Pm2ErTmSe4 from Alexandria. Energies are from GGA-PBE.

Unit cell a=4.039 b=7.032 c=7.308 alpha=108.57 beta=90.00 gamma=90.00
Fractional positions:
Tm  0.000  0.000  0.000
Se  0.000  0.745  0.234
Se  0.000  0.255  0.766
Se  0.500  0.243  0.233
Se  0.500  0.757  0.767
Er  0.500  0.500  0.000
Pm  0.000  0.500  0.500
Pm  0.500  0.000  0.500

Properties
- Uncorrected energy: -46.579 eV/f.u.
- Volume: 196.8 Å³ per cell
- Space group: P2/m, No. 10
- Total magnetization: 0.0000 μB/atom

***

# 7
Here is an optimized crystal structure of Er2SnAu from Alexandria. Energies are from GGA-PBE.

Unit cell a=3.509 b=3.509 c=7.891 alpha=90.00 beta=90.00 gamma=90.00
Fractional positions:
Sn  0.500  0.500  0.500
Er  0.000  0.000  0.233
Er  0.000  0.000  0.767
Au  0.500  0.500  0.000

Properties
- Volume: 97.2 Å³ per cell
- Formation energy: -2.91 eV/f.u.
- Space group: P4/mmm, No. 123
- Total magnetization: 0.0000 μB/atom

***

# 8
Here is an optimized crystal structure of CaMgHg6 from Alexandria. Energies are from GGA-PBE.

Unit cell a=5.195 b=6.513 c=6.513 alpha=117.69 beta=90.00 gamma=90.00
Fractional positions:
Hg  0.500  0.416  0.091
Hg  0.500  0.909  0.584
Hg  0.000  0.594  0.927
Hg  0.000  0.073  0.406
Hg  0.500  0.924  0.076
Hg  0.000  0.581  0.419
Ca  0.500  0.408  0.592
Mg  0.000  0.094  0.906

Properties
- Volume: 195.1 Å³ per cell
- Formation energy: -1.86 eV/f.u.
- Space group: Amm2, No. 38
- Total magnetization: 0.0000 μB/atom

***

# 9
Here is an optimized crystal structure of Cr2TeIr from Alexandria. Energies are from GGA-PBE.

Unit cell a=4.745 b=4.745 c=4.745 alpha=130.54 beta=130.54 gamma=72.54
Site moments in Bohr magnetons follow the coordinates.
Fractional positions:
Cr  0.500  0.500  0.000  1.73
Cr  0.000  0.000  0.000  1.73
Te  0.250  0.750  0.500  -0.06
Ir  0.750  0.250  0.500  -0.13

Properties
- Uncorrected energy: -29.857 eV/f.u.
- Volume: 60.3 Å³ per cell
- Space group: I4/mmm, No. 139
- Total magnetization: 0.8659 μB/atom

***

# 10
Here is an optimized crystal structure of CsBaP from Alexandria. Energies are from GGA-PBE.

Unit cell a=9.415 b=5.495 c=9.269 alpha=90.00 beta=90.00 gamma=90.00
Fractional positions:
P  0.191  0.250  0.396
P  0.691  0.250  0.104
P  0.809  0.750  0.604
P  0.309  0.750  0.896
Cs  0.477  0.250  0.664
Cs  0.977  0.250  0.836
Cs  0.023  0.750  0.164
Cs  0.523  0.750  0.336
Ba  0.349  0.250  0.084
Ba  0.151  0.750  0.584
Ba  0.651  0.750  0.916
Ba  0.849  0.250  0.416

Properties
- Volume: 479.5 Å³ per cell
- Formation energy: -2.00 eV/f.u.
- Space group: Pnma, No. 62
- Total magnetization: 0.0000 μB/atom

***

# 11
Here is an optimized crystal structure of Tb3YCo8 from Alexandria. Energies are from GGA-PBE.

Unit cell a=5.081 b=5.081 c=8.804 alpha=73.23 beta=73.23 gamma=60.00
Site moments in Bohr magnetons follow the coordinates.
Fractional positions:
Co  0.938  0.938  0.687  1.15
Co  0.938  0.437  0.687  1.15
Co  0.937  0.438  0.188  1.15
Co  0.187  0.187  0.438  1.16
Co  0.438  0.937  0.188  1.15
Co  0.438  0.438  0.188  1.15
Co  0.687  0.687  0.938  1.15
Co  0.437  0.938  0.687  1.15
Tb  0.500  0.500  0.500  -0.34
Tb  0.375  0.375  0.875  -0.33
Tb  0.000  0.000  0.000  -0.34
Y  0.875  0.875  0.375  -0.24

Properties
- Volume: 185.6 Å³ per cell
- Formation energy: -2.17 eV/f.u.
- Space group: R3m, No. 160
- Total magnetization: 0.6307 μB/atom

***

# 12
Here is an optimized crystal structure of AcNdSmMg from Alexandria. Energies are from GGA-PBE.

Unit cell a=3.868 b=3.868 c=9.108 alpha=90.00 beta=90.00 gamma=90.00
Fractional positions:
Nd  0.500  0.500  0.784
Mg  0.000  0.000  0.568
Sm  0.500  0.500  0.359
Ac  0.000  0.000  0.074

Properties
- Volume: 136.2 Å³ per cell
- Formation energy: -0.13 eV/f.u.
- Space group: P4mm, No. 99
- Total magnetization: 0.0000 μB/atom

***

# 13
Here is an optimized crystal structure of LaTaCuS2 from Alexandria. Energies are from GGA-PBE.

Unit cell a=4.713 b=5.948 c=4.713 alpha=90.00 beta=90.00 gamma=90.00
Fractional positions:
Ta  0.000  0.000  0.000
La  0.000  0.500  0.000
S  0.000  0.000  0.500
S  0.500  0.000  0.000
Cu  0.500  0.500  0.500

Properties
- Uncorrected energy: -29.345 eV/f.u.
- Volume: 132.1 Å³ per cell
- Space group: P4/mmm, No. 123
- Total magnetization: 0.0000 μB/atom

***

# 14
Here is an optimized crystal structure of Sc2TiAs from Alexandria. Energies are from GGA-PBE.

Unit cell a=7.852 b=7.852 c=6.184 alpha=50.59 beta=50.59 gamma=90.00
Fractional positions:
Ti  0.500  0.500  0.000
Ti  0.250  0.750  0.500
Sc  0.375  0.333  0.750
Sc  0.083  0.625  0.250
Sc  0.667  0.125  0.250
Sc  0.875  0.917  0.750
As  0.750  0.250  0.500
As  0.000  0.000  0.000

Properties
- Volume: 167.9 Å³ per cell
- Formation energy: -0.57 eV/f.u.
- Space group: I-42d, No. 122
- Total magnetization: 0.0001 μB/atom

***

# 15
Here is an optimized crystal structure of Ca2LaAl from Alexandria. Energies are from GGA-PBE.

Unit cell a=6.952 b=6.952 c=3.544 alpha=76.25 beta=76.25 gamma=119.72
Fractional positions:
Ca  0.500  0.500  0.000
Ca  0.000  0.000  0.000
Al  0.000  0.500  0.500
La  0.500  0.000  0.500

Properties
- Volume: 131.0 Å³ per cell
- Formation energy: 0.34 eV/f.u.
- Space group: C2/m, No. 12
- Total magnetization: 0.0001 μB/atom

***

# 16
Here is an optimized crystal structure of CuHgN3 from Alexandria. Energies are from GGA-PBE.

Unit cell a=4.156 b=4.156 c=4.156 alpha=90.00 beta=90.00 gamma=90.00
Fractional positions:
Hg  0.000  0.000  0.000
N  0.500  0.000  0.000
N  0.000  0.000  0.500
N  0.000  0.500  0.000
Cu  0.500  0.500  0.500

Properties
- Uncorrected energy: -14.385 eV/f.u.
- Volume: 71.8 Å³ per cell
- Space group: Pm-3m, No. 221
- Total magnetization: 0.0000 μB/atom